Here is AcCo2SeO8 after structural relaxation from Alexandria. Energies are from GGA+U.

E_tot ... -5.90 eV per atom
Crystal system ... monoclinic
Total magnetization ... 9.91 μB per cell

Cell and atoms, written as CIF:
```
data_AcCo2SeO8
_symmetry_space_group_name_H-M 'C 1 2/m 1'
_symmetry_Int_Tables_number 12
_cell_length_a 6.6119
_cell_length_b 6.0572
_cell_length_c 7.5784
_cell_angle_alpha 90.00
_cell_angle_beta 98.06
_cell_angle_gamma 90.00
loop_
_symmetry_equiv_pos_as_xyz
'x,y,z'
'-x,-y,-z'
'-x,y,-z'
'x,-y,z'
'x+1/2,y+1/2,z'
'-x+1/2,-y+1/2,-z'
'-x+1/2,y+1/2,-z'
'x+1/2,-y+1/2,z'
loop_
_atom_site_label
_atom_site_fract_x
_atom_site_fract_y
_atom_site_fract_z
Ac1 0.0000 0.0000 0.0000
Co1 0.0233 0.5000 0.6766
Se1 0.0000 0.0000 0.5000
O1 0.0235 0.1945 0.6893
O2 0.1428 0.5000 0.9034
O3 0.2152 0.5000 0.4953
```